Cu2Se: relaxed, PBE-GGA.

Cell and atoms, written as extended XYZ:
```
9
Lattice="3.267 -5.658 0.000 3.267 5.658 0.000 0.000 0.000 3.797" Properties=species:S:1:pos:R:3 pbc="T T T"
Cu 0.863 1.496 0.000
Cu 2.012 3.485 1.898
Cu 2.012 -3.485 1.898
Cu 4.807 0.000 0.000
Cu 2.510 0.000 1.898
Cu 0.863 -1.496 0.000
Se 0.000 0.000 1.898
Se 3.267 -1.886 0.000
Se 3.267 1.886 0.000
```

Summary:
- ΔE_f (raw) (meV/atom) = 90
- space-group type = No. 189
- E_tot (eV per atom) = -3.802